No. 1
The following is a DFT calculation (PBE) of LiMgIn2Br5 after structural relaxation.

Structure (extended XYZ):
```
18
Lattice="2.0474 -9.4378 0.0000 2.0474 9.4378 0.0000 0.0000 0.0000 14.3977" Properties=species:S:1:pos:R:3 pbc="T T T"
Li 2.0474 8.2321 7.1988
Li 2.0474 -8.2321 0.0000
Mg 2.0474 3.9705 1.1667
Mg 2.0474 -3.9705 8.3655
In 2.0474 2.4144 5.3055
In 2.0474 1.9014 10.3767
In 2.0474 -1.9014 3.1778
In 2.0474 -2.4144 12.5043
Br 2.0474 -9.4334 5.0134
Br 2.0474 9.4334 12.2122
Br 2.0474 6.6387 0.8053
Br 2.0474 5.7444 6.5452
Br 2.0474 5.2459 10.1848
Br 2.0474 1.2517 1.4755
Br 2.0474 -1.2517 8.6744
Br 2.0474 -5.2459 2.9859
Br 2.0474 -5.7444 13.7440
Br 2.0474 -6.6387 8.0041
```

- D(E_F): 0.00 states/eV per cell
- Raw formation energy: -10.00 eV per formula unit
- Raw total energy: -3.0384 eV/atom
- Total magnetic moment: 0.000 μB per formula unit



No. 2
The following is a DFT calculation (PBE) of LiMnInBr4 after structural relaxation.

Structure (extended XYZ):
```
14
Lattice="6.5851 0.0000 0.0000 0.0000 8.5950 0.0000 -1.8721 0.0000 8.4325" Properties=species:S:1:pos:R:3 pbc="T T T"
Li 0.7891 2.1488 2.6608
Li 3.9239 6.4463 5.7717
Mn 0.5520 6.4463 5.8335
Mn 4.1611 2.1488 2.5990
In 0.4618 2.1488 7.6291
In 4.2512 6.4463 0.8035
Br -0.8971 2.1488 4.5548
Br -1.0449 6.4463 7.7710
Br 2.5323 0.2621 2.2396
Br 2.5323 4.0354 2.2396
Br 2.1808 4.5596 6.1929
Br 2.1808 8.3329 6.1929
Br 5.7580 2.1488 0.6616
Br 5.6102 6.4463 3.8777
```

- D(E_F): 0.00 states/eV per cell
- Raw formation energy: -6.53 eV per formula unit
- Raw total energy: -3.8640 eV/atom
- Total magnetic moment: 5.000 μB per formula unit



No. 3
The following is a DFT calculation (PBE) of LiMnIn2Br6 after structural relaxation.

Structure (extended XYZ):
```
20
Lattice="7.0893 0.0000 0.0000 0.0000 7.6377 0.0000 -6.8155 0.0000 10.3692" Properties=species:S:1:pos:R:3 pbc="T T T"
Li 0.0000 0.0000 0.0000
Li -3.4077 3.8188 5.1846
Mn 0.1369 0.0000 5.1846
Mn 3.5447 3.8188 0.0000
In -3.5824 0.6791 7.6864
In -0.1747 3.1397 2.5018
In 0.4485 4.4980 7.8673
In 3.8562 6.9585 2.6827
Br -2.0774 1.4209 4.6606
Br -5.4851 2.3979 9.8452
Br -1.1325 5.3422 4.5575
Br -4.5402 6.1142 9.7421
Br 0.9581 0.2821 2.6415
Br -2.4496 3.5368 7.8261
Br 2.7235 4.1009 2.5431
Br -0.6843 7.3556 7.7277
Br 4.8140 1.5234 0.6271
Br 1.4063 2.2954 5.8117
Br 5.7590 5.2398 0.5240
Br 2.3512 6.2167 5.7086
```

- D(E_F): 11.62 states/eV per cell
- Raw formation energy: -8.14 eV per formula unit
- Raw total energy: -3.4740 eV/atom
- Total magnetic moment: 4.303 μB per formula unit



No. 4
The following is a DFT calculation (PBE) of LiIn2BrN after structural relaxation.

Structure (extended XYZ):
```
5
Lattice="4.7061 0.0000 0.0000 0.0000 4.7061 0.0000 0.0000 0.0000 5.3633" Properties=species:S:1:pos:R:3 pbc="T T T"
Li 0.0000 0.0000 0.0000
In 0.0000 2.3530 2.6817
In 2.3530 0.0000 2.6817
Br 2.3530 2.3530 0.0000
N 2.3530 2.3530 2.6817
```

- D(E_F): 2.10 states/eV per cell
- Raw formation energy: 1.97 eV per formula unit
- Raw total energy: -3.0836 eV/atom
- Total magnetic moment: 0.000 μB per formula unit



No. 5
The following is a DFT calculation (PBE) of Na2LiInBr4 after structural relaxation.

Structure (extended XYZ):
```
16
Lattice="2.1506 -7.3136 0.0000 2.1506 7.3136 0.0000 0.0000 0.0000 14.9265" Properties=species:S:1:pos:R:3 pbc="T T T"
Na 2.1506 5.4586 8.1987
Na 2.1506 5.4586 14.1911
Na 2.1506 -5.4586 0.7354
Na 2.1506 -5.4586 6.7278
Li 2.1506 2.2799 3.7316
Li 2.1506 -2.2799 11.1949
In 2.1506 1.7624 11.1949
In 2.1506 -1.7624 3.7316
Br 2.1506 6.3787 11.1949
Br 2.1506 3.8288 1.7650
Br 2.1506 3.8288 5.6983
Br 2.1506 0.0000 0.0000
Br 2.1506 0.0000 7.4633
Br 2.1506 -3.8288 9.2282
Br 2.1506 -3.8288 13.1616
Br 2.1506 -6.3787 3.7316
```

- D(E_F): 0.00 states/eV per cell
- Raw formation energy: -10.46 eV per formula unit
- Raw total energy: -3.0548 eV/atom
- Total magnetic moment: 0.000 μB per formula unit



No. 6
The following is a DFT calculation (PBE) of NaLiIn2Br6 after structural relaxation.

Structure (extended XYZ):
```
10
Lattice="7.4004 0.0000 0.0000 3.6976 6.4128 0.0000 3.6984 2.1316 6.6654" Properties=species:S:1:pos:R:3 pbc="T T T"
Na 0.0000 0.0000 0.0000
Li 7.3947 4.2681 3.2270
In 3.7005 2.1369 0.2152
In 11.0981 6.4064 3.7947
Br 6.5598 6.1995 5.0806
Br 4.9358 4.1076 1.6133
Br 6.1470 2.5782 5.0797
Br 8.4855 6.4970 1.6138
Br 9.4892 4.0315 5.0803
Br 8.7781 2.2222 1.6143
```

- D(E_F): 0.00 states/eV per cell
- Raw formation energy: -10.43 eV per formula unit
- Raw total energy: -2.9181 eV/atom
- Total magnetic moment: 0.000 μB per formula unit



No. 7
The following is a DFT calculation (PBE) of NaLiIn2Br4 after structural relaxation.

Structure (extended XYZ):
```
16
Lattice="6.2616 -6.2477 0.0000 6.2616 6.2477 0.0000 -6.1721 0.0000 6.2670" Properties=species:S:1:pos:R:3 pbc="T T T"
Na 3.1308 3.1238 0.0000
Na 0.0447 -3.1238 3.1335
Li 0.0000 0.0000 0.0000
Li -3.0861 0.0000 3.1335
In 0.0447 3.1238 3.1335
In 3.1308 -3.1238 0.0000
In 6.2616 0.0000 0.0000
In 3.1755 0.0000 3.1335
Br -3.2501 0.1198 6.0722
Br -0.1640 -0.1198 2.9387
Br 6.1353 3.3643 0.1287
Br 3.3018 3.3643 3.0049
Br 3.0493 -3.3643 3.2622
Br 0.2157 -3.3643 6.1384
Br 6.5151 0.1198 3.3283
Br 9.6011 -0.1198 0.1948
```

- D(E_F): 0.00 states/eV per cell
- Raw formation energy: -8.44 eV per formula unit
- Raw total energy: -2.9801 eV/atom
- Total magnetic moment: 0.000 μB per formula unit



No. 8
The following is a DFT calculation (PBE) of NaLiInBr3 after structural relaxation.

Structure (extended XYZ):
```
12
Lattice="9.0846 0.0000 0.0000 0.0000 4.3798 0.0000 -2.3614 0.0000 9.5036" Properties=species:S:1:pos:R:3 pbc="T T T"
Na 1.1275 1.0949 1.3715
Na 5.5956 3.2848 8.1321
Li 2.8281 3.2848 3.7403
Li 3.8950 1.0949 5.7633
In 0.8423 3.2848 7.5224
In 5.8808 1.0949 1.9812
Br -1.4365 1.0949 7.9223
Br 1.7171 1.0949 4.4245
Br 3.2109 3.2848 1.2529
Br 3.5122 1.0949 8.2507
Br 5.0060 3.2848 5.0791
Br 8.1597 3.2848 1.5813
```

- D(E_F): 0.00 states/eV per cell
- Raw formation energy: -7.39 eV per formula unit
- Raw total energy: -3.0632 eV/atom
- Total magnetic moment: 0.000 μB per formula unit